First-principles (PBE) data for a geometry-optimized Cr2CdTc structure, as listed in Alexandria.

Geometry as extended XYZ:
```
4
Lattice="4.548 -1.386 0.000 4.548 1.386 0.000 -0.770 0.000 4.923" Properties=species:S:1:pos:R:3 pbc="T T T"
Cr 2.086 0.000 0.831
Cr 6.239 0.000 4.092
Cd -0.385 0.000 2.462
Tc 4.548 0.000 0.000
```

Values from the calculation:
DFT formation energy, eV per atom: 0.50
Total magnetic moment, μB/cell: 0.00

First-principles (PBE) data for a geometry-optimized VTcPt3 structure, as listed in Alexandria.

Geometry as extended XYZ:
```
10
Lattice="2.400 -6.886 0.000 2.400 6.886 0.000 -1.709 0.000 4.486" Properties=species:S:1:pos:R:3 pbc="T T T"
V 1.546 4.830 2.243
V 2.400 -4.830 0.000
Tc 1.613 2.071 2.358
Tc 2.467 -2.071 0.115
Pt 2.445 6.138 0.050
Pt 2.430 3.410 0.067
Pt 2.425 0.733 0.065
Pt 1.571 -0.733 2.308
Pt 1.576 -3.410 2.310
Pt 1.590 -6.138 2.293
```

Values from the calculation:
DFT formation energy, eV per atom: -0.37
Energy above the most stable polymorph in this dataset, meV per atom: 0
Total magnetic moment, μB/cell: 0.00

First-principles (PBE) data for a geometry-optimized EuMgCuAg structure, as listed in Alexandria.

Geometry as extended XYZ:
```
4
Lattice="0.000 3.535 3.535 3.535 0.000 3.535 3.535 3.535 0.000" Properties=species:S:1:pos:R:3 pbc="T T T"
Eu 0.000 0.000 0.000
Mg 3.535 3.535 3.535
Cu 5.303 5.303 5.303
Ag 1.768 1.768 1.768
```

Values from the calculation:
DFT formation energy, eV per atom: -0.13
Total magnetic moment, μB/cell: 7.15

First-principles (PBE) data for a geometry-optimized Tc5Te4 structure, as listed in Alexandria.

Geometry as extended XYZ:
```
18
Lattice="8.118 0.000 0.000 -4.059 7.031 0.000 0.000 0.000 5.740" Properties=species:S:1:pos:R:3 pbc="T T T"
Tc -1.308 2.265 1.435
Tc -2.752 4.766 4.305
Tc 2.615 0.000 1.435
Tc 1.308 2.265 4.305
Tc 0.000 4.687 0.000
Tc 0.000 4.687 2.870
Tc 4.059 2.344 0.000
Tc 4.059 2.344 2.870
Tc 5.503 0.000 4.305
Tc 2.752 4.766 1.435
Te 0.000 0.000 0.000
Te 0.000 0.000 2.870
Te -1.481 2.565 4.305
Te -2.578 4.465 1.435
Te 2.962 0.000 4.305
Te 1.481 2.565 1.435
Te 5.156 0.000 1.435
Te 2.578 4.465 4.305
```

Values from the calculation:
Formation energy from raw total energies, eV/atom: 0.59
Total magnetic moment, μB/cell: 2.41

First-principles (PBE) data for a geometry-optimized Th2AlZn12Cu3 structure, as listed in Alexandria.

Geometry as extended XYZ:
```
18
Lattice="4.244 2.450 5.928 -4.244 2.450 5.928 0.000 -4.900 5.928" Properties=species:S:1:pos:R:3 pbc="T T T"
Th 0.000 0.000 1.659
Th 0.000 0.000 16.124
Al 0.000 0.000 8.891
Zn -2.128 -1.228 8.397
Zn 0.000 -1.800 4.845
Zn -1.559 0.900 4.845
Zn 0.000 -2.457 9.386
Zn -2.128 1.228 9.386
Zn -1.559 -0.900 12.937
Zn 1.559 0.900 4.845
Zn 2.128 -1.228 8.397
Zn 0.000 2.457 8.397
Zn 1.559 -0.900 12.937
Zn 0.000 1.800 12.937
Zn 2.128 1.228 9.386
Cu -2.122 -1.225 5.928
Cu -2.122 1.225 11.855
Cu 0.000 2.450 5.928
```

Values from the calculation:
DFT formation energy, eV per atom: 0.30
Total magnetic moment, μB/cell: 0.00

First-principles (PBE) data for a geometry-optimized Sr2Ga5Au3 structure, as listed in Alexandria.

Geometry as extended XYZ:
```
10
Lattice="4.431 0.000 0.000 0.000 4.431 0.000 0.000 0.000 11.405" Properties=species:S:1:pos:R:3 pbc="T T T"
Sr 0.000 2.215 2.844
Sr 2.215 0.000 8.562
Ga 0.000 0.000 5.703
Ga 0.000 2.215 7.163
Ga 2.215 0.000 4.242
Ga 2.215 2.215 0.000
Ga 2.215 2.215 5.703
Au 0.000 0.000 0.000
Au 0.000 2.215 9.712
Au 2.215 0.000 1.694
```

Values from the calculation:
DFT formation energy, eV per atom: -0.50
Energy above the most stable polymorph in this dataset, meV per atom: 65
Total magnetic moment, μB/cell: 0.00

First-principles (PBE) data for a geometry-optimized HfSiRh2 structure, as listed in Alexandria.

Geometry as extended XYZ:
```
4
Lattice="4.100 0.000 0.000 0.000 4.100 0.000 0.000 0.000 3.634" Properties=species:S:1:pos:R:3 pbc="T T T"
Hf 0.000 0.000 0.000
Si 2.050 2.050 0.000
Rh 0.000 2.050 1.817
Rh 2.050 0.000 1.817
```

Values from the calculation:
Formation energy from raw total energies, eV/atom: -0.80
Total magnetic moment, μB/cell: 0.00

First-principles (PBE) data for a geometry-optimized Ca2Os2C3 structure, as listed in Alexandria.

Geometry as extended XYZ:
```
7
Lattice="5.687 -1.743 0.000 5.687 1.743 0.000 -3.078 0.000 5.286" Properties=species:S:1:pos:R:3 pbc="T T T"
Ca 0.159 0.000 1.717
Ca 8.137 0.000 3.570
Os 3.147 0.000 1.005
Os 5.149 0.000 4.282
C 0.574 0.000 4.224
C 4.148 0.000 2.643
C 7.722 0.000 1.063
```

Values from the calculation:
DFT formation energy, eV per atom: 0.06
Total magnetic moment, μB/cell: 0.00

First-principles (PBE) data for a geometry-optimized Cd3MoRh structure, as listed in Alexandria.

Geometry as extended XYZ:
```
5
Lattice="5.254 0.000 0.000 0.000 5.254 0.000 0.000 0.000 5.254" Properties=species:S:1:pos:R:3 pbc="T T T"
Cd 0.000 0.000 2.627
Cd 0.000 2.627 0.000
Cd 2.627 0.000 0.000
Mo 0.000 0.000 0.000
Rh 2.627 2.627 2.627
```

Values from the calculation:
DFT formation energy, eV per atom: 1.58
Total magnetic moment, μB/cell: 3.56

First-principles (PBE) data for a geometry-optimized YIrRu2 structure, as listed in Alexandria.

Geometry as extended XYZ:
```
4
Lattice="3.051 0.000 0.000 0.000 4.693 0.000 0.000 0.000 4.710" Properties=species:S:1:pos:R:3 pbc="T T T"
Y 0.000 0.000 0.000
Ir 1.525 0.000 2.355
Ru 0.000 2.346 2.355
Ru 1.525 2.346 0.000
```

Values from the calculation:
DFT formation energy, eV per atom: 0.11
Energy above the most stable polymorph in this dataset, meV per atom: 119
Total magnetic moment, μB/cell: 1.69

First-principles (PBE) data for a geometry-optimized SiTe2W structure, as listed in Alexandria.

Geometry as extended XYZ:
```
4
Lattice="3.601 0.000 0.000 0.000 3.601 0.000 0.000 0.000 7.786" Properties=species:S:1:pos:R:3 pbc="T T T"
Si 0.000 0.000 0.000
Te 0.000 1.800 5.585
Te 1.800 0.000 2.201
W 1.800 1.800 0.000
```

Values from the calculation:
Formation energy from raw total energies, eV/atom: 0.13
Total magnetic moment, μB/cell: 0.00

First-principles (PBE) data for a geometry-optimized SrLiSmPt structure, as listed in Alexandria.

Geometry as extended XYZ:
```
4
Lattice="0.000 3.668 3.668 3.668 0.000 3.668 3.668 3.668 0.000" Properties=species:S:1:pos:R:3 pbc="T T T"
Sr 0.000 0.000 0.000
Li 1.834 1.834 1.834
Sm 3.668 3.668 3.668
Pt 5.502 5.502 5.502
```

Values from the calculation:
DFT formation energy, eV per atom: -0.44
Total magnetic moment, μB/cell: 0.00

First-principles (PBE) data for a geometry-optimized ZrCdTeRh2 structure, as listed in Alexandria.

Geometry as extended XYZ:
```
5
Lattice="4.822 0.000 0.000 0.000 4.822 0.000 0.000 0.000 5.514" Properties=species:S:1:pos:R:3 pbc="T T T"
Zr 0.000 0.000 0.000
Cd 0.000 0.000 2.757
Te 2.411 2.411 2.757
Rh 0.000 2.411 0.000
Rh 2.411 0.000 0.000
```

Values from the calculation:
Formation energy from raw total energies, eV/atom: 0.76
Total magnetic moment, μB/cell: 0.00

First-principles (PBE) data for a geometry-optimized Sm2Er3ScS6 structure, as listed in Alexandria.

Geometry as extended XYZ:
```
12
Lattice="8.465 -1.939 0.000 8.465 1.939 0.000 -1.818 0.000 7.608" Properties=species:S:1:pos:R:3 pbc="T T T"
Sm 2.215 0.000 2.541
Sm 12.896 0.000 5.067
Er 1.351 0.000 6.347
Er 7.556 0.000 3.804
Er 13.760 0.000 1.261
Sc 8.465 0.000 0.000
S -1.312 0.000 5.777
S 4.957 0.000 3.111
S 4.029 0.000 7.059
S 11.083 0.000 0.548
S 10.154 0.000 4.497
S 16.423 0.000 1.831
```

Values from the calculation:
Formation energy from raw total energies, eV/atom: -1.95
Total magnetic moment, μB/cell: 0.00

First-principles (PBE) data for a geometry-optimized LiHfTiFe structure, as listed in Alexandria.

Geometry as extended XYZ:
```
4
Lattice="0.000 3.104 3.104 3.104 0.000 3.104 3.104 3.104 0.000" Properties=species:S:1:pos:R:3 pbc="T T T"
Li 0.000 0.000 0.000
Hf 4.656 4.656 4.656
Ti 1.552 1.552 1.552
Fe 3.104 3.104 3.104
```

Values from the calculation:
DFT formation energy, eV per atom: -0.05
Total magnetic moment, μB/cell: 0.00

First-principles (PBE) data for a geometry-optimized Dy12TmSc3 structure, as listed in Alexandria.

Geometry as extended XYZ:
```
16
Lattice="4.934 0.000 0.000 0.000 4.934 0.000 0.000 0.000 19.691" Properties=species:S:1:pos:R:3 pbc="T T T"
Dy 0.000 0.000 0.000
Dy 0.000 0.000 4.879
Dy 0.000 0.000 9.845
Dy 0.000 0.000 14.812
Dy 0.000 2.467 2.441
Dy 0.000 2.467 7.326
Dy 0.000 2.467 12.365
Dy 0.000 2.467 17.250
Dy 2.467 0.000 2.441
Dy 2.467 0.000 7.326
Dy 2.467 0.000 12.365
Dy 2.467 0.000 17.250
Tm 2.467 2.467 9.845
Sc 2.467 2.467 0.000
Sc 2.467 2.467 4.887
Sc 2.467 2.467 14.804
```

Values from the calculation:
DFT formation energy, eV per atom: 0.04
Total magnetic moment, μB/cell: 0.00

First-principles (PBE) data for a geometry-optimized Tm8IrRh2 structure, as listed in Alexandria.

Geometry as extended XYZ:
```
11
Lattice="8.487 -2.455 0.000 8.487 2.455 0.000 -2.015 0.000 6.382" Properties=species:S:1:pos:R:3 pbc="T T T"
Tm -0.042 0.000 1.864
Tm 1.800 0.000 5.187
Tm 4.572 0.000 3.400
Tm 6.783 0.000 0.348
Tm 8.177 0.000 6.034
Tm 10.388 0.000 2.982
Tm 13.160 0.000 1.195
Tm 15.002 0.000 4.518
Ir 7.480 0.000 3.191
Rh 2.756 0.000 1.295
Rh 12.204 0.000 5.087
```

Values from the calculation:
DFT formation energy, eV per atom: -0.57
Energy above the most stable polymorph in this dataset, meV per atom: 0
Total magnetic moment, μB/cell: 0.00

First-principles (PBE) data for a geometry-optimized HoTm2Mg4 structure, as listed in Alexandria.

Geometry as extended XYZ:
```
7
Lattice="2.965 -6.449 0.000 2.965 6.449 0.000 0.000 0.000 5.398" Properties=species:S:1:pos:R:3 pbc="T T T"
Ho 0.000 0.000 0.000
Tm 2.965 1.676 2.699
Tm 2.965 -1.676 2.699
Mg 2.965 4.896 2.699
Mg 2.965 3.290 0.000
Mg 2.965 -3.290 0.000
Mg 2.965 -4.896 2.699
```

Values from the calculation:
DFT formation energy, eV per atom: 0.41
Energy above the most stable polymorph in this dataset, meV per atom: 252
Total magnetic moment, μB/cell: 0.00

First-principles (PBE) data for a geometry-optimized Na2CuTc structure, as listed in Alexandria.

Geometry as extended XYZ:
```
4
Lattice="0.000 3.400 3.400 3.400 0.000 3.400 3.400 3.400 0.000" Properties=species:S:1:pos:R:3 pbc="T T T"
Na 1.700 1.700 1.700
Na 5.100 5.100 5.100
Cu 0.000 0.000 0.000
Tc 3.400 3.400 3.400
```

Values from the calculation:
DFT formation energy, eV per atom: 1.15
Energy above the most stable polymorph in this dataset, meV per atom: 34
Total magnetic moment, μB/cell: 2.95

First-principles (PBE) data for a geometry-optimized Zn3Co2 structure, as listed in Alexandria.

Geometry as extended XYZ:
```
10
Lattice="0.000 6.257 2.307 4.423 0.000 2.307 4.423 6.257 0.000" Properties=species:S:1:pos:R:3 pbc="T T T"
Zn 0.000 0.000 0.000
Zn 2.211 3.129 1.153
Zn 4.801 4.986 2.367
Zn 4.044 7.528 2.367
Zn 6.256 8.115 3.521
Zn 7.012 10.657 3.521
Co 6.439 6.818 1.357
Co 4.227 2.568 2.510
Co 2.407 5.697 1.357
Co 4.618 9.946 2.510
```

Values from the calculation:
DFT formation energy, eV per atom: 0.06
Energy above the most stable polymorph in this dataset, meV per atom: 16
Total magnetic moment, μB/cell: 5.37

For reference, DFT total energy by record: -7.136, -7.887, -4.830, -6.564, -2.267, -3.336, -8.318, -7.677, -2.607, -8.362, -6.032, -4.034, -4.701, -6.468, -7.103, -4.883, -5.965, -2.433, -3.122, -3.547 eV/atom.
For reference, N(E_F) by record: 1.05, 0.86, 2.03, 1.42, 0.60, 0.33, 0.61, 0.31, 2.79, 0.95, 0.21, 0.95, 0.53, 0.45, 0.84, 1.47, 0.94, 0.73, 0.79, 1.14 states/eV per atom.
For reference, theoretical density by record: 8.41, 16.44, 6.53, 10.14, 6.59, 8.27, 11.21, 7.87, 6.14, 11.90, 7.68, 7.40, 6.95, 6.92, 8.03, 7.81, 10.92, 4.83, 4.38, 8.17 Mg/m³.